{"formula": "La2PmAl4", "functional": "PBE", "state": "relaxed", "cell": [[-1.8666, 2.3078, 10.3389], [1.8666, -2.3078, 10.3389], [1.8666, 2.3078, -10.3389]], "species": ["La", "La", "Pm", "Al", "Al", "Al", "Al"], "frac_coords": [[0.1922, 0.1922, 0.0000], [0.8078, 0.8078, 0.0000], [0.5000, 0.0000, 0.5000], [0.0640, 0.5640, 0.5000], [0.3674, 0.3674, 0.0000], [0.6326, 0.6326, 0.0000], [0.9360, 0.4360, 0.5000]], "m_tot_mub_per_fu": 0.3, "e_tot_ev_per_atom": -4.62, "dos_at_fermi_per_ev_atom": 0.72}

---

{"formula": "Sr3Tl3Cd8", "functional": "PBE", "state": "relaxed", "cell": [[-2.5217, 5.3930, 7.3312], [2.5217, -5.3930, 7.3312], [2.5217, 5.3930, -7.3312]], "species": ["Sr", "Sr", "Sr", "Tl", "Tl", "Tl", "Cd", "Cd", "Cd", "Cd", "Cd", "Cd", "Cd", "Cd"], "frac_coords": [[0.0000, 0.0000, 0.0000], [0.3049, 0.3049, 0.0000], [0.6951, 0.6951, 0.0000], [0.2967, 0.5000, 0.7967], [0.5000, 0.0000, 0.5000], [0.7033, 0.5000, 0.2033], [0.0339, 0.6663, 0.3676], [0.1292, 0.8575, 0.2718], [0.2988, 0.6663, 0.6324], [0.4143, 0.1425, 0.2718], [0.5857, 0.8575, 0.7282], [0.7012, 0.3337, 0.3676], [0.8708, 0.1425, 0.7282], [0.9661, 0.3337, 0.6324]], "m_tot_mub_per_fu": 0.0, "e_tot_ev_per_atom": -1.64, "dos_at_fermi_per_ev_atom": 0.51}

---

{"formula": "LiFeSn", "functional": "PBE", "state": "relaxed", "cell": [[2.0802, 1.2010, 7.3389], [-2.0802, 1.2010, 7.3389], [0.0000, -2.4020, 7.3389]], "species": ["Li", "Li", "Fe", "Fe", "Sn", "Sn"], "frac_coords": [[0.2037, 0.2037, 0.2037], [0.7962, 0.7962, 0.7962], [0.3356, 0.3356, 0.3356], [0.6644, 0.6644, 0.6644], [0.0682, 0.0682, 0.0682], [0.9318, 0.9318, 0.9318]], "m_tot_mub_per_fu": 2.3, "e_tot_ev_per_atom": -4.87, "dos_at_fermi_per_ev_atom": 0.29}

---

{"formula": "CeDyAl2Zn2", "functional": "PBE", "state": "relaxed", "cell": [[4.4941, 0.0000, 0.0000], [-2.2470, 3.8920, 0.0000], [0.0000, 0.0000, 7.3638]], "species": ["Ce", "Dy", "Al", "Al", "Zn", "Zn"], "frac_coords": [[0.0000, 0.0000, 0.0000], [0.0000, 0.0000, 0.5000], [0.3333, 0.6667, 0.2592], [0.6667, 0.3333, 0.7408], [0.3333, 0.6667, 0.7311], [0.6667, 0.3333, 0.2689]], "m_tot_mub_per_fu": 1.0, "e_tot_ev_per_atom": -3.82, "dos_at_fermi_per_ev_atom": 1.29}